# CaCd2Mo (PBE-GGA, relaxed)
# - V: 21.61 A^3/atom
# - Offset from the most stable computed form: 0.011 eV/atom
# - ΔE_f: 0.3041 eV per atom
data_CaCd2Mo
_chemical_formula_sum 'Ca1 Cd2 Mo1'
_symmetry_space_group_name_H-M 'P m m m'
_symmetry_Int_Tables_number 47
_cell_length_a 3.0576
_cell_length_b 4.2949
_cell_length_c 6.5834
_cell_angle_alpha 90.00
_cell_angle_beta 90.00
_cell_angle_gamma 90.00
loop_
_symmetry_equiv_pos_as_xyz
'x,y,z'
'-x,-y,-z'
'-x,-y,z'
'x,y,-z'
'x,-y,-z'
'-x,y,z'
'-x,y,-z'
'x,-y,z'
loop_
_atom_site_label
_atom_site_type_symbol
_atom_site_fract_x
_atom_site_fract_y
_atom_site_fract_z
Ca1 Ca 0.0000 0.0000 0.0000
Cd1 Cd 0.5000 0.5000 0.2823
Mo1 Mo 0.0000 0.0000 0.5000

***

# In12Ag3Sn5 (PBE-GGA, relaxed)
# - V: 30.11 A^3/atom
# - ΔE_f: 0.1239 eV per atom
data_In12Ag3Sn5
_chemical_formula_sum 'In96 Ag24 Sn40'
_symmetry_space_group_name_H-M 'I a -3 d'
_symmetry_Int_Tables_number 230
_symmetry_space_group_name_Hall '-I 4bd 2c 3'
_cell_length_a 16.8901
_cell_length_b 16.8901
_cell_length_c 16.8901
_cell_angle_alpha 90.00
_cell_angle_beta 90.00
_cell_angle_gamma 90.00
loop_
_atom_site_label
_atom_site_type_symbol
_atom_site_fract_x
_atom_site_fract_y
_atom_site_fract_z
In1 In 0.0213 0.0882 0.6504
Ag1 Ag 0.0000 0.2500 0.1250
Sn1 Sn 0.0000 0.0000 0.0000
Sn2 Sn 0.0000 0.2500 0.3750

***

# HoSc2P (PBE-GGA, relaxed)
# - V: 22.10 A^3/atom
# - Offset from the most stable computed form: 0.000 eV/atom
# - ΔE_f: -0.7907 eV per atom
data_HoSc2P
_chemical_formula_sum 'Ho4 Sc8 P4'
_symmetry_space_group_name_H-M 'C m c m'
_symmetry_Int_Tables_number 63
_symmetry_space_group_name_Hall '-C 2c 2'
_cell_length_a 3.8180
_cell_length_b 11.0685
_cell_length_c 8.3658
_cell_angle_alpha 90.00
_cell_angle_beta 90.00
_cell_angle_gamma 90.00
loop_
_atom_site_label
_atom_site_type_symbol
_atom_site_fract_x
_atom_site_fract_y
_atom_site_fract_z
Ho1 Ho 0.0000 0.0632 0.2500
Sc1 Sc 0.0000 0.3535 0.0556
P1 P 0.0000 0.2397 0.7500

***

# Ce3Sb2Te (PBE-GGA, relaxed)
# - V: 32.21 A^3/atom
# - Offset from the most stable computed form: 0.003 eV/atom
# - ΔE_f (raw): -1166.3 meV/atom
data_Ce3Sb2Te
_chemical_formula_sum 'Ce12 Sb8 Te4'
_symmetry_space_group_name_H-M 'C m m m'
_symmetry_Int_Tables_number 65
_symmetry_space_group_name_Hall '-C 2 2'
_cell_length_a 6.3623
_cell_length_b 19.0964
_cell_length_c 6.3623
_cell_angle_alpha 90.00
_cell_angle_beta 90.00
_cell_angle_gamma 90.00
loop_
_atom_site_label
_atom_site_type_symbol
_atom_site_fract_x
_atom_site_fract_y
_atom_site_fract_z
Ce1 Ce 0.0000 0.0000 0.0000
Ce2 Ce 0.0000 0.1655 0.5000
Ce3 Ce 0.0000 0.3335 0.0000
Ce4 Ce 0.0000 0.5000 0.5000
Sb1 Sb 0.0000 0.0000 0.5000
Sb2 Sb 0.0000 0.1670 0.0000
Sb3 Sb 0.0000 0.5000 0.0000
Te1 Te 0.0000 0.3329 0.5000

***

# MgB2O (PBE-GGA, relaxed)
# - V: 11.12 A^3/atom
# - Offset from the most stable computed form: 0.000 eV/atom
# - ΔE_f (raw): -378.3 meV/atom
data_MgB2O
_chemical_formula_sum 'Mg4 B8 O4'
_symmetry_space_group_name_H-M 'I 41/a m d'
_symmetry_Int_Tables_number 141
_cell_length_a 3.0374
_cell_length_b 3.0374
_cell_length_c 19.2814
_cell_angle_alpha 90.00
_cell_angle_beta 90.00
_cell_angle_gamma 90.00
loop_
_symmetry_equiv_pos_as_xyz
'x,y,z'
'-x,-y,-z'
'-y+1/4,x+3/4,z+1/4'
'y+1/4,-x+3/4,-z+1/4'
'-x+1/2,-y,z+1/2'
'x+1/2,y,-z+1/2'
'y+1/4,-x+1/4,z+3/4'
'-y+1/4,x+1/4,-z+3/4'
'x,-y,-z'
'-x,y,z'
'-y+1/4,-x+1/4,-z+3/4'
'y+1/4,x+1/4,z+3/4'
'-x+1/2,y,-z+1/2'
'x+1/2,-y,z+1/2'
'y+1/4,x+3/4,-z+1/4'
'-y+1/4,-x+3/4,z+1/4'
'x+1/2,y+1/2,z+1/2'
'-x+1/2,-y+1/2,-z+1/2'
'-y+3/4,x+1/4,z+3/4'
'y+3/4,-x+1/4,-z+3/4'
'-x,-y+1/2,z'
'x,y+1/2,-z'
'y+3/4,-x+3/4,z+1/4'
'-y+3/4,x+3/4,-z+1/4'
'x+1/2,-y+1/2,-z+1/2'
'-x+1/2,y+1/2,z+1/2'
'-y+3/4,-x+3/4,-z+1/4'
'y+3/4,x+3/4,z+1/4'
'-x,y+1/2,-z'
'x,-y+1/2,z'
'y+3/4,x+1/4,-z+3/4'
'-y+3/4,-x+1/4,z+3/4'
loop_
_atom_site_label
_atom_site_type_symbol
_atom_site_fract_x
_atom_site_fract_y
_atom_site_fract_z
Mg1 Mg 0.0000 0.2500 0.3750
B1 B 0.0000 0.0000 0.0000
O1 O 0.0000 0.2500 0.8750

***

# LuUTc2 (PBE-GGA, relaxed)
# - V: 19.22 A^3/atom
# - Offset from the most stable computed form: 0.000 eV/atom
# - ΔE_f: -0.2189 eV per atom
data_LuUTc2
_chemical_formula_sum 'Lu1 U1 Tc2'
_symmetry_space_group_name_H-M 'P 4/m m m'
_symmetry_Int_Tables_number 123
_symmetry_space_group_name_Hall '-P 4 2'
_cell_length_a 3.3546
_cell_length_b 3.3546
_cell_length_c 6.8304
_cell_angle_alpha 90.00
_cell_angle_beta 90.00
_cell_angle_gamma 90.00
loop_
_atom_site_label
_atom_site_type_symbol
_atom_site_fract_x
_atom_site_fract_y
_atom_site_fract_z
Lu1 Lu 0.0000 0.0000 0.0000
U1 U 0.0000 0.0000 0.5000
Tc1 Tc 0.5000 0.5000 0.2863

***

# Pm2SmYEr6 (PBE-GGA, relaxed)
# - V: 32.20 A^3/atom
# - ΔE_f: 0.1152 eV per atom
data_Pm2SmYEr6
_chemical_formula_sum 'Pm8 Sm4 Y4 Er24'
_symmetry_space_group_name_H-M 'C 1 2/c 1'
_symmetry_Int_Tables_number 15
_cell_length_a 8.9822
_cell_length_b 15.0316
_cell_length_c 9.6526
_cell_angle_alpha 90.00
_cell_angle_beta 98.81
_cell_angle_gamma 90.00
loop_
_symmetry_equiv_pos_as_xyz
'x,y,z'
'-x,-y,-z'
'-x,y,-z+1/2'
'x,-y,z+1/2'
'x+1/2,y+1/2,z'
'-x+1/2,-y+1/2,-z'
'-x+1/2,y+1/2,-z+1/2'
'x+1/2,-y+1/2,z+1/2'
loop_
_atom_site_label
_atom_site_type_symbol
_atom_site_fract_x
_atom_site_fract_y
_atom_site_fract_z
Pm1 Pm 0.2458 0.0520 0.0427
Sm1 Sm 0.0000 0.0192 0.7500
Y1 Y 0.0000 0.4070 0.2500
Er1 Er 0.0666 0.1906 0.4429
Er2 Er 0.1009 0.3937 0.6197
Er3 Er 0.2017 0.2250 0.8153

***

# TaWAu2 (PBE-GGA, relaxed)
# - V: 17.33 A^3/atom
# - Offset from the most stable computed form: 0.185 eV/atom
# - ΔE_f: 0.2564 eV per atom
data_TaWAu2
_chemical_formula_sum 'Ta3 W3 Au6'
_symmetry_space_group_name_H-M 'R -3 m'
_symmetry_Int_Tables_number 166
_symmetry_space_group_name_Hall '-R 3 2"'
_cell_length_a 2.8925
_cell_length_b 2.8925
_cell_length_c 28.6953
_cell_angle_alpha 90.00
_cell_angle_beta 90.00
_cell_angle_gamma 120.00
loop_
_atom_site_label
_atom_site_type_symbol
_atom_site_fract_x
_atom_site_fract_y
_atom_site_fract_z
Ta1 Ta 0.0000 0.0000 0.0000
W1 W 0.0000 0.0000 0.5000
Au1 Au 0.0000 0.0000 0.2489

***

# Tm3Pu4Se8 (PBE-GGA, relaxed)
# - V: 25.56 A^3/atom
# - ΔE_f (raw): -1615.7 meV/atom
data_Tm3Pu4Se8
_chemical_formula_sum 'Tm6 Pu8 Se16'
_symmetry_space_group_name_H-M 'C 1 2/m 1'
_symmetry_Int_Tables_number 12
_cell_length_a 11.4941
_cell_length_b 11.5282
_cell_length_c 8.1312
_cell_angle_alpha 90.00
_cell_angle_beta 134.64
_cell_angle_gamma 90.00
loop_
_symmetry_equiv_pos_as_xyz
'x,y,z'
'-x,-y,-z'
'-x,y,-z'
'x,-y,z'
'x+1/2,y+1/2,z'
'-x+1/2,-y+1/2,-z'
'-x+1/2,y+1/2,-z'
'x+1/2,-y+1/2,z'
loop_
_atom_site_label
_atom_site_type_symbol
_atom_site_fract_x
_atom_site_fract_y
_atom_site_fract_z
Tm1 Tm 0.0000 0.0000 0.0000
Tm2 Tm 0.2500 0.2500 0.5000
Pu1 Pu 0.0000 0.0000 0.5000
Pu2 Pu 0.0000 0.5000 0.0000
Pu3 Pu 0.2500 0.2500 0.0000
Se1 Se 0.0000 0.2474 0.0000
Se2 Se 0.0000 0.2555 0.5000
Se3 Se 0.2488 0.5000 0.5094
Se4 Se 0.2487 0.5000 0.9907

***

# TmFe3Si3 (PBE-GGA, relaxed)
# - V: 16.73 A^3/atom
# - ΔE_f (raw): 112.7 meV/atom
data_TmFe3Si3
_chemical_formula_sum 'Tm2 Fe6 Si6'
_symmetry_space_group_name_H-M 'P m -3 n'
_symmetry_Int_Tables_number 223
_symmetry_space_group_name_Hall '-P 4n 2 3'
_cell_length_a 6.1642
_cell_length_b 6.1642
_cell_length_c 6.1642
_cell_angle_alpha 90.00
_cell_angle_beta 90.00
_cell_angle_gamma 90.00
loop_
_atom_site_label
_atom_site_type_symbol
_atom_site_fract_x
_atom_site_fract_y
_atom_site_fract_z
Tm1 Tm 0.0000 0.0000 0.0000
Fe1 Fe 0.0000 0.2500 0.5000
Si1 Si 0.0000 0.5000 0.2500

***

# CaPr2Zn8 (PBE-GGA, relaxed)
# - V: 20.84 A^3/atom
# - ΔE_f: -0.2995 eV per atom
data_CaPr2Zn8
_chemical_formula_sum 'Ca2 Pr4 Zn16'
_symmetry_space_group_name_H-M 'I m m m'
_symmetry_Int_Tables_number 71
_symmetry_space_group_name_Hall '-I 2 2'
_cell_length_a 4.5122
_cell_length_b 6.8877
_cell_length_c 14.7508
_cell_angle_alpha 90.00
_cell_angle_beta 90.00
_cell_angle_gamma 90.00
loop_
_atom_site_label
_atom_site_type_symbol
_atom_site_fract_x
_atom_site_fract_y
_atom_site_fract_z
Ca1 Ca 0.0000 0.0000 0.0000
Pr1 Pr 0.0000 0.5000 0.1390
Zn1 Zn 0.0000 0.0000 0.2145
Zn2 Zn 0.0000 0.1829 0.5000
Zn3 Zn 0.0000 0.3135 0.3369

***

# Dy8Ge3Te4C (PBE-GGA, relaxed)
# - V: 26.33 A^3/atom
# - ΔE_f (raw): -1069.4 meV/atom
data_Dy8Ge3Te4C
_chemical_formula_sum 'Dy24 Ge9 Te12 C3'
_symmetry_space_group_name_H-M 'R -3 m'
_symmetry_Int_Tables_number 166
_symmetry_space_group_name_Hall '-R 3 2"'
_cell_length_a 8.2951
_cell_length_b 8.2951
_cell_length_c 21.2077
_cell_angle_alpha 90.00
_cell_angle_beta 90.00
_cell_angle_gamma 120.00
loop_
_atom_site_label
_atom_site_type_symbol
_atom_site_fract_x
_atom_site_fract_y
_atom_site_fract_z
Dy1 Dy 0.0000 0.0000 0.2411
Dy2 Dy 0.0234 0.5117 0.2353
Ge1 Ge 0.0000 0.5000 0.5000
Te1 Te 0.0000 0.0000 0.0000
Te2 Te 0.0000 0.5000 0.0000
C1 C 0.0000 0.0000 0.5000

***

| no. | magnetization (μB/atom) |
| --- | --- |
| 1 | 0.240 |
| 2 | 0.000 |
| 3 | 0.000 |
| 4 | 0.482 |
| 5 | 0.000 |
| 6 | 0.000 |
| 7 | 0.000 |
| 8 | 0.000 |
| 9 | 0.773 |
| 10 | 0.004 |
| 11 | 0.000 |
| 12 | 0.000 |